Entry 1:
K3Na3TeP6H6O24 | PBE-GGA | optimized geometry

Cell lengths 10.7911, 10.7911, 12.5284 Å; angles 65.66, 65.66, 62.21 degrees
With the nearest neighbours (Å) after each atom.
Element x y z (fractional)
1 H 0.5232 0.8188 0.4124  1 O 0.99
2 H 0.2205 0.0073 0.5711  1 O 1.04
3 H 0.2275 0.1770 0.5001  1 O 1.01
4 H 0.8188 0.5232 0.9124  1 O 0.99
5 H 0.7725 0.8230 0.4999  1 O 1.01
6 H 0.4768 0.1812 0.5876  1 O 0.99
7 H 0.7795 0.9927 0.4289  1 O 1.04
8 H 0.0073 0.2205 0.0711  1 O 1.04
9 H 0.1812 0.4768 0.0876  1 O 0.99
10 H 0.8230 0.7725 0.9999  1 O 1.01
11 H 0.1770 0.2275 0.0001  1 O 1.01
12 H 0.9927 0.7795 0.9289  1 O 1.04
13 O 0.5026 0.0744 0.6209  1 H 0.99
14 O 0.1187 0.7789 0.1191  1 P 1.50
15 O 0.8460 0.1044 0.3982  1 P 1.51, 1 H 1.52
16 O 0.8956 0.1540 0.1018  1 P 1.51, 1 H 1.52
17 O 0.3830 0.3758 0.6093  1 P 1.49
18 O 0.1044 0.8460 0.8982  1 P 1.51, 1 H 1.52
19 O 0.9741 0.2119 0.4452  2 P 1.63-1.65
20 O 0.4788 0.8591 0.9363  2 P 1.62-1.66
21 O 0.5324 0.3722 0.8864  1 P 1.50
22 O 0.6517 0.2878 0.0564  2 P 1.63-1.64
23 O 0.8248 0.5117 0.1151  1 Te 1.83
24 O 0.6170 0.6242 0.3907  1 P 1.49
25 O 0.0463 0.7053 0.3801  1 P 1.50
26 O 0.3415 0.1342 0.9073  1 P 1.50
27 O 0.2211 0.8813 0.3809  1 P 1.50
28 O 0.6278 0.4676 0.6136  1 P 1.50
29 O 0.4676 0.6278 0.1136  1 P 1.50
30 O 0.8658 0.6585 0.5927  1 P 1.50
31 O 0.7122 0.3483 0.4436  2 P 1.63-1.64
32 O 0.8591 0.4788 0.4363  2 P 1.62-1.66
33 O 0.6585 0.8658 0.0927  1 P 1.50
34 O 0.1540 0.8956 0.6018  1 P 1.51, 1 H 1.52
35 O 0.5117 0.8248 0.6151  1 Te 1.83
36 O 0.4974 0.9256 0.3791  1 H 0.99
37 O 0.1342 0.3415 0.4073  1 P 1.50
38 O 0.9537 0.2947 0.6199  1 P 1.50
39 O 0.9256 0.4974 0.8791  1 H 0.99
40 O 0.4883 0.1752 0.3849  1 Te 1.83
41 O 0.5212 0.1409 0.0637  2 P 1.62-1.66
42 O 0.1752 0.4883 0.8849  1 Te 1.83
43 O 0.2947 0.9537 0.1199  1 P 1.50
44 O 0.2878 0.6517 0.5564  2 P 1.63-1.64
45 O 0.0744 0.5026 0.1209  1 H 0.99
46 O 0.0259 0.7881 0.5548  2 P 1.63-1.65
47 O 0.3483 0.7122 0.9436  2 P 1.63-1.64
48 O 0.6242 0.6170 0.8907  1 P 1.49
49 O 0.7367 0.9186 0.4389  2 H 1.01-1.04
50 O 0.3758 0.3830 0.1093  1 P 1.49
51 O 0.1409 0.5212 0.5637  2 P 1.62-1.66
52 O 0.0814 0.2633 0.0611  2 H 1.01-1.04
53 O 0.3722 0.5324 0.3864  1 P 1.50
54 O 0.9186 0.7367 0.9389  2 H 1.01-1.04
55 O 0.7881 0.0259 0.0548  2 P 1.63-1.65
56 O 0.7789 0.1187 0.6191  1 P 1.50
57 O 0.2633 0.0814 0.5611  2 H 1.01-1.04
58 O 0.8813 0.2211 0.8809  1 P 1.50
59 O 0.2119 0.9741 0.9452  2 P 1.63-1.65
60 O 0.7053 0.0463 0.8801  1 P 1.50
61 Te 0.5000 0.0000 0.5000  4 O 1.83-2.00
62 Te 0.0000 0.5000 0.0000  4 O 1.83-2.00
63 P 0.0128 0.6673 0.5159  4 O 1.50-1.65
64 P 0.1757 0.8178 0.5158  4 O 1.50-1.63
65 P 0.9872 0.3327 0.4841  4 O 1.50-1.65
66 P 0.3124 0.5094 0.5213  4 O 1.49-1.66
67 P 0.8243 0.1822 0.4842  4 O 1.50-1.63
68 P 0.3327 0.9872 0.9841  4 O 1.50-1.65
69 P 0.4906 0.6876 0.9787  4 O 1.49-1.66
70 P 0.5094 0.3124 0.0213  4 O 1.49-1.66
71 P 0.6673 0.0128 0.0159  4 O 1.50-1.65
72 P 0.6876 0.4906 0.4787  4 O 1.49-1.66
73 P 0.1822 0.8243 0.9842  4 O 1.50-1.63
74 P 0.8178 0.1757 0.0158  4 O 1.50-1.63
75 Na 0.7454 0.4635 0.7445  6 O 2.43-2.64
76 Na 0.4635 0.7454 0.2445  6 O 2.43-2.64
77 Na 0.0712 0.9288 0.2500  4 O 2.36-2.51
78 Na 0.5365 0.2546 0.7555  6 O 2.43-2.64
79 Na 0.2546 0.5365 0.2555  6 O 2.43-2.64
80 Na 0.9288 0.0712 0.7500  4 O 2.36-2.51
81 K 0.1422 0.2732 0.7584  7 O 2.78-3.07, 1 H 3.01
82 K 0.6397 0.3603 0.2500  6 O 2.74-2.87
83 K 0.7268 0.8578 0.7416  7 O 2.78-3.07, 1 H 3.01
84 K 0.3603 0.6397 0.7500  6 O 2.74-2.87
85 K 0.2732 0.1422 0.2584  7 O 2.78-3.07, 1 H 3.01
86 K 0.8578 0.7268 0.2416  7 O 2.78-3.07, 1 H 3.01

DFT total energy ... -521.062 eV per cell
Volume ... 1131.3 Å³/cell
Spin magnetization ... 0.13 Bohr magnetons per cell
Crystal system ... monoclinic
Energy above the lowest structure with this stoichiometry ... 123 kJ/mol of formula units
Symmetry ... C2/c


Entry 2:
LaZnAu3 | PBE-GGA | optimized geometry

Cell lengths 5.7761, 5.7761, 5.7761 Å; angles 90.00, 90.00, 90.00 degrees
With the nearest neighbours (Å) after each atom.
Element x y z (fractional)
1 Au 0.0000 0.0000 0.5000  2 La 2.89
2 Au 0.5000 0.0000 0.0000  2 La 2.89
3 Au 0.0000 0.5000 0.0000  2 La 2.89
4 Zn 0.5000 0.5000 0.5000  12 Au 4.08
5 La 0.0000 0.0000 0.0000  6 Au 2.89

DFT total energy ... -14.205 eV per cell
Volume ... 192.7 Å³/cell
DFT formation energy ... 0.366 eV per atom
Spin magnetization ... 0.00 Bohr magnetons per cell
Crystal system ... cubic
Energy above the lowest structure with this stoichiometry ... 462 kJ/mol of formula units
Symmetry ... Pm-3m


Entry 3:
Tb6Dy3Cd | PBE-GGA | optimized geometry

Cell lengths 5.0103, 10.9739, 11.1906 Å; angles 91.46, 90.00, 90.00 degrees
With the nearest neighbours (Å) after each atom.
Element x y z (fractional)
1 Tb 0.2500 0.8614 0.3151  3 Cd 3.37-3.38, 5 Tb 3.48-3.61, 4 Dy 3.56-3.61
2 Tb 0.7500 0.5511 0.8980  5 Tb 3.42-3.59, 7 Dy 3.50-3.61
3 Tb 0.7500 0.1386 0.6849  3 Cd 3.37-3.38, 5 Tb 3.48-3.61, 4 Dy 3.56-3.61
4 Tb 0.2500 0.1527 0.1907  8 Tb 3.42-3.52, 2 Dy 3.52, 2 Cd 3.57
5 Tb 0.7500 0.7635 0.5060  3 Cd 3.39-3.44, 5 Tb 3.48-3.56, 4 Dy 3.52-3.64
6 Tb 0.7500 0.3462 0.2981  1 Cd 3.42, 6 Tb 3.48-3.56, 5 Dy 3.52-3.57
7 Tb 0.2500 0.2365 0.4940  3 Cd 3.39-3.44, 5 Tb 3.48-3.56, 4 Dy 3.52-3.64
8 Tb 0.2500 0.4489 0.1020  5 Tb 3.42-3.59, 7 Dy 3.50-3.61
9 Tb 0.7500 0.9535 0.1039  1 Cd 3.39, 7 Tb 3.45-3.61, 4 Dy 3.49-3.52
10 Tb 0.2500 0.6538 0.7019  1 Cd 3.42, 6 Tb 3.48-3.56, 5 Dy 3.52-3.57
11 Tb 0.2500 0.0465 0.8961  1 Cd 3.39, 7 Tb 3.45-3.61, 4 Dy 3.49-3.52
12 Tb 0.7500 0.8473 0.8093  8 Tb 3.42-3.52, 2 Dy 3.52, 2 Cd 3.57
13 Dy 0.7500 0.6533 0.2075  4 Dy 3.51-3.55, 8 Tb 3.52-3.61
14 Dy 0.2500 0.3467 0.7925  4 Dy 3.51-3.55, 8 Tb 3.52-3.61
15 Dy 0.2500 0.7525 0.0080  10 Tb 3.49-3.61, 2 Dy 3.55
16 Dy 0.7500 0.4484 0.5989  8 Tb 3.50-3.64, 4 Dy 3.51-3.55
17 Dy 0.2500 0.5516 0.4011  8 Tb 3.50-3.64, 4 Dy 3.51-3.55
18 Dy 0.7500 0.2475 0.9920  10 Tb 3.49-3.61, 2 Dy 3.55
19 Cd 0.7500 0.0524 0.3932  10 Tb 3.37-3.57, 2 Cd 3.67
20 Cd 0.2500 0.9476 0.6068  10 Tb 3.37-3.57, 2 Cd 3.67

DFT total energy ... -85.387 eV per cell
Volume ... 615.1 Å³/cell
DFT formation energy ... -0.019 eV per atom
Spin magnetization ... 0.00 Bohr magnetons per cell
Crystal system ... monoclinic
Energy above the lowest structure with this stoichiometry ... 0 kJ/mol of formula units
Symmetry ... P2_1/m


Entry 4:
SrZn2Cu2 | PBE-GGA | optimized geometry

Cell lengths 7.7205, 7.7205, 2.9780 Å; angles 90.00, 90.00, 90.00 degrees
With the nearest neighbours (Å) after each atom.
Element x y z (fractional)
1 Zn 0.8440 0.3440 0.5000  6 Cu 2.64-2.82
2 Zn 0.3440 0.1560 0.5000  6 Cu 2.64-2.82
3 Zn 0.6560 0.8440 0.5000  6 Cu 2.64-2.82
4 Zn 0.1560 0.6560 0.5000  6 Cu 2.64-2.82
5 Cu 0.3750 0.8750 0.0000  6 Zn 2.64-2.82, 1 Cu 2.73
6 Cu 0.8750 0.6250 0.0000  6 Zn 2.64-2.82, 1 Cu 2.73
7 Cu 0.6250 0.1250 0.0000  6 Zn 2.64-2.82, 1 Cu 2.73
8 Cu 0.1250 0.3750 0.0000  6 Zn 2.64-2.82, 1 Cu 2.73
9 Sr 0.5000 0.5000 0.0000  2 Sr 2.98, 4 Cu 3.05, 8 Zn 3.27
10 Sr 0.0000 0.0000 0.0000  2 Sr 2.98, 4 Cu 3.05, 8 Zn 3.27

DFT total energy ... -24.226 eV per cell
Volume ... 177.5 Å³/cell
DFT formation energy ... 0.062 eV per atom
Spin magnetization ... 0.00 Bohr magnetons per cell
Crystal system ... tetragonal
Energy above the lowest structure with this stoichiometry ... 99 kJ/mol of formula units
Symmetry ... P4/mbm


Entry 5:
ZrTiFeAg2 | PBE-GGA | optimized geometry

Cell lengths 5.1310, 4.3190, 5.1310 Å; angles 90.00, 90.00, 90.00 degrees
With the nearest neighbours (Å) after each atom.
Element x y z (fractional)
1 Ti 0.5000 0.5000 0.5000  8 Ag 3.35, 4 Fe 3.63
2 Ag 0.5000 0.0000 0.0000  2 Zr 2.57
3 Ag 0.0000 0.0000 0.5000  2 Zr 2.57
4 Zr 0.0000 0.0000 0.0000  2 Fe 2.16
5 Fe 0.0000 0.5000 0.0000  2 Zr 2.16

DFT total energy ... -23.639 eV per cell
Volume ... 113.7 Å³/cell
DFT formation energy ... 1.394 eV per atom
Spin magnetization ... 0.11 Bohr magnetons per cell
Crystal system ... tetragonal
Symmetry ... P4/mmm


Entry 6:
ScZn2Fe | PBE-GGA | optimized geometry

Cell lengths 4.4306, 4.4306, 4.4306 Å; angles 60.00, 60.00, 60.00 degrees
With the nearest neighbours (Å) after each atom.
Element x y z (fractional)
1 Sc 0.2500 0.2500 0.2500  4 Fe 2.71, 4 Zn 2.71
2 Zn 0.0000 0.0000 0.0000  4 Zn 2.71, 4 Sc 2.71
3 Zn 0.7500 0.7500 0.7500  4 Fe 2.71, 4 Zn 2.71
4 Fe 0.5000 0.5000 0.5000  4 Sc 2.71, 4 Zn 2.71

DFT total energy ... -17.369 eV per cell
Volume ... 61.5 Å³/cell
DFT formation energy ... -0.007 eV per atom
Spin magnetization ... 1.78 Bohr magnetons per cell
Crystal system ... cubic
Symmetry ... F-43m


Entry 7:
Er4CdGaHg2 | PBE-GGA | optimized geometry

Cell lengths 5.1854, 5.1854, 8.9644 Å; angles 73.19, 73.19, 60.00 degrees
With the nearest neighbours (Å) after each atom.
Element x y z (fractional)
1 Ga 0.5000 0.5000 0.5000  8 Er 3.05-3.14
2 Cd 0.0000 0.0000 0.0000  8 Er 3.22-3.27, 6 Hg 3.58
3 Hg 0.7443 0.7443 0.7670  8 Er 3.10-3.26
4 Hg 0.2557 0.2557 0.2330  8 Er 3.10-3.26
5 Er 0.6203 0.6203 0.1391  1 Ga 3.05, 4 Hg 3.10-3.14, 3 Cd 3.22
6 Er 0.1290 0.1290 0.6130  3 Ga 3.14, 4 Hg 3.21-3.26, 1 Cd 3.27
7 Er 0.8710 0.8710 0.3870  3 Ga 3.14, 4 Hg 3.21-3.26, 1 Cd 3.27
8 Er 0.3797 0.3797 0.8609  1 Ga 3.05, 4 Hg 3.10-3.14, 3 Cd 3.22

DFT total energy ... -26.412 eV per cell
Volume ... 196.8 Å³/cell
DFT formation energy ... -0.452 eV per atom
Spin magnetization ... 0.00 Bohr magnetons per cell
Crystal system ... trigonal
Symmetry ... R-3m


Entry 8:
AgSb3Br | PBE-GGA | optimized geometry

Cell lengths 5.5176, 5.5176, 5.5176 Å; angles 90.00, 90.00, 90.00 degrees
With the nearest neighbours (Å) after each atom.
Element x y z (fractional)
1 Ag 0.5000 0.5000 0.5000  12 Sb 3.90
2 Br 0.0000 0.0000 0.0000  6 Sb 2.76
3 Sb 0.0000 0.0000 0.5000  2 Br 2.76
4 Sb 0.5000 0.0000 0.0000  2 Br 2.76
5 Sb 0.0000 0.5000 0.0000  2 Br 2.76

DFT total energy ... -11.598 eV per cell
Volume ... 168.0 Å³/cell
Spin magnetization ... 0.00 Bohr magnetons per cell
Crystal system ... cubic
Raw formation energy ... 5.293 eV per formula unit
Energy above the lowest structure with this stoichiometry ... 205 kJ/mol of formula units
Symmetry ... Pm-3m


Entry 9:
AlZnAu2 | PBE-GGA | optimized geometry

Cell lengths 8.2761, 8.2761, 8.2761 Å; angles 21.93, 21.93, 21.93 degrees
With the nearest neighbours (Å) after each atom.
Element x y z (fractional)
1 Au 0.0029 0.0029 0.0029  3 Al 2.66, 3 Zn 2.77
2 Au 0.4971 0.4971 0.4971  3 Al 2.66, 3 Zn 2.77
3 Al 0.7500 0.7500 0.7500  6 Au 2.66
4 Zn 0.2500 0.2500 0.2500  6 Au 2.77

DFT total energy ... -12.359 eV per cell
Volume ... 69.3 Å³/cell
DFT formation energy ... -0.197 eV per atom
Spin magnetization ... 0.00 Bohr magnetons per cell
Crystal system ... trigonal
Symmetry ... R-3m


Entry 10:
Sc2FeRu | PBE-GGA | optimized geometry

Cell lengths 4.4923, 4.4945, 3.2347 Å; angles 90.00, 90.00, 90.00 degrees
With the nearest neighbours (Å) after each atom.
Element x y z (fractional)
1 Sc 0.5000 0.5000 0.0000  4 Ru 2.77, 4 Fe 2.77
2 Sc 0.0000 0.0000 0.0000  4 Fe 2.77, 4 Ru 2.77
3 Fe 0.5000 0.0000 0.5000  8 Sc 2.77
4 Ru 0.0000 0.5000 0.5000  8 Sc 2.77

DFT total energy ... -31.552 eV per cell
Volume ... 65.3 Å³/cell
DFT formation energy ... -0.287 eV per atom
Spin magnetization ... 1.41 Bohr magnetons per cell
Crystal system ... tetragonal
Symmetry ... P4/mmm


Number 1: N(E_F) 0.000 states/eV/cell. Number 2: N(E_F) 0.000 states/eV/cell. Number 3: N(E_F) 27.721 states/eV/cell. Number 4: N(E_F) 4.889 states/eV/cell. Number 5: N(E_F) 7.131 states/eV/cell. Number 6: N(E_F) 8.302 states/eV/cell. Number 7: N(E_F) 8.403 states/eV/cell. Number 8: N(E_F) 6.062 states/eV/cell. Number 9: N(E_F) 1.364 states/eV/cell. Number 10: N(E_F) 6.016 states/eV/cell.